# CoTc2Au PBE relaxed
data_CoTc2Au
_chemical_formula_sum 'Co1 Tc2 Au1'
_space_group_name_H-M_alt 'P m m 2'
_space_group_IT_number 25
_space_group_name_Hall 'P 2 -2'
_cell_length_a 2.7517
_cell_length_b 3.8182
_cell_length_c 5.5571
_cell_angle_alpha 90.00
_cell_angle_beta 90.00
_cell_angle_gamma 90.00
loop_
_atom_site_label
_atom_site_type_symbol
_atom_site_fract_x
_atom_site_fract_y
_atom_site_fract_z
_atom_site_occupancy
Co1 Co 0.0000 0.0000 0.0000 1
Tc1 Tc 0.0000 0.0000 0.4477 1
Tc2 Tc 0.5000 0.5000 0.2283 1
Au1 Au 0.5000 0.5000 0.7396 1
# ΔH_f (0 K): 0.91 eV/f.u.
# E above lowest polymorph: 22.3 meV per atom
# E: -7.55 eV per atom